(w)
Density functional theory data (PBE) for crystalline SrBe3S at its relaxed geometry.

```
5
Lattice="5.599 0.000 0.000 0.000 5.599 0.000 0.000 0.000 5.599" Properties=species:S:1:pos:R:3 pbc="T T T"
Sr 0.000 0.000 0.000
Be 0.000 2.799 0.000
Be 2.799 0.000 0.000
Be 0.000 0.000 2.799
S 2.799 2.799 2.799
```

N(E_F)	0.84	states/eV per atom
ρ	1.4	g/cm³

---

(x)
Density functional theory data (PBE) for crystalline SrBe3S at its relaxed geometry.

```
5
Lattice="4.463 0.000 0.000 0.000 4.463 0.000 0.000 0.000 4.463" Properties=species:S:1:pos:R:3 pbc="T T T"
Be 2.232 0.000 0.000
Be 0.000 2.232 0.000
Be 0.000 0.000 2.232
S 0.000 0.000 0.000
Sr 2.232 2.232 2.232
```

N(E_F)	0.70	states/eV per atom
ρ	2.7	g/cm³

---

The structure with the greatest stability is (x).

---

(w)
Density functional theory data (PBE) for crystalline SrBeS3 at its relaxed geometry.

```
5
Lattice="-4.853 0.920 -2.756 -2.900 -1.204 4.705 0.179 5.450 1.505" Properties=species:S:1:pos:R:3 pbc="T T T"
S -1.450 -0.602 2.353
S 0.090 2.725 0.752
S -2.427 0.460 -1.378
Be -3.787 2.583 1.727
Sr 0.000 0.000 0.000
```

N(E_F)	0.37	states/eV per atom
ρ	1.8	g/cm³

---

(x)
Density functional theory data (PBE) for crystalline SrBeS3 at its relaxed geometry.

```
5
Lattice="4.541 0.000 0.000 0.000 4.541 0.000 0.000 0.000 4.541" Properties=species:S:1:pos:R:3 pbc="T T T"
S 2.270 0.000 0.000
S 0.000 2.270 0.000
S 0.000 0.000 2.270
Be 0.000 0.000 0.000
Sr 2.270 2.270 2.270
```

N(E_F)	1.06	states/eV per atom
ρ	3.4	g/cm³

---

The structure with the greatest stability is (x).

---

(w)
Density functional theory data (PBE) for crystalline Ta2BeS at its relaxed geometry.

```
4
Lattice="2.085 -2.793 -2.537 1.907 -3.464 1.717 -1.640 -3.927 -0.689" Properties=species:S:1:pos:R:3 pbc="T T T"
Ta 0.588 -2.546 -0.377
Ta 1.764 -7.638 -1.132
Be 0.000 0.000 0.000
S 1.176 -5.092 -0.754
```

N(E_F)	1.12	states/eV per atom
ρ	11.8	g/cm³

---

(x)
Density functional theory data (PBE) for crystalline Ta2BeS at its relaxed geometry.

```
8
Lattice="-1.509 -4.902 0.590 2.200 -0.116 4.669 -4.529 -0.726 4.970" Properties=species:S:1:pos:R:3 pbc="T T T"
S 0.000 0.000 0.000
S -2.847 -4.068 4.095
Ta -0.002 -1.049 4.256
Ta -1.744 -3.077 2.173
Ta -3.056 -2.430 5.874
Ta -2.875 -4.930 8.155
Be -0.992 -1.675 6.134
Be 0.345 -2.509 2.629
```

N(E_F)	0.67	states/eV per atom
ρ	8.8	g/cm³

---

The structure with the greatest stability is (w).

---

(w)
Density functional theory data (PBE) for crystalline TaBe3S at its relaxed geometry.

```
5
Lattice="4.559 0.000 0.000 0.000 4.559 0.000 0.000 0.000 4.559" Properties=species:S:1:pos:R:3 pbc="T T T"
S 2.280 2.280 2.280
Ta 0.000 0.000 0.000
Be 0.000 2.280 0.000
Be 2.280 0.000 0.000
Be 0.000 0.000 2.280
```

N(E_F)	0.77	states/eV per atom
ρ	4.2	g/cm³

---

(x)
Density functional theory data (PBE) for crystalline TaBe3S at its relaxed geometry.

```
5
Lattice="-3.773 0.524 1.281 0.399 -3.151 2.463 1.326 2.440 2.906" Properties=species:S:1:pos:R:3 pbc="T T T"
S 0.000 0.000 0.000
Be 0.200 -1.575 1.232
Be -1.887 0.262 0.641
Be 0.663 1.220 1.453
Ta -1.024 -0.094 3.325
```

N(E_F)	0.93	states/eV per atom
ρ	6.1	g/cm³

---

The structure with the greatest stability is (x).

---

(w)
Density functional theory data (PBE) for crystalline TaBeS3 at its relaxed geometry.

```
5
Lattice="4.237 0.000 0.000 0.000 4.237 0.000 0.000 0.000 4.237" Properties=species:S:1:pos:R:3 pbc="T T T"
S 0.000 0.000 2.118
S 0.000 2.118 0.000
S 2.118 0.000 0.000
Be 0.000 0.000 0.000
Ta 2.118 2.118 2.118
```

N(E_F)	0.73	states/eV per atom
ρ	6.2	g/cm³

---

(x)
Density functional theory data (PBE) for crystalline TaBeS3 at its relaxed geometry.

```
5
Lattice="4.777 0.000 0.000 0.000 4.777 0.000 0.000 0.000 4.777" Properties=species:S:1:pos:R:3 pbc="T T T"
S 0.000 2.389 0.000
S 2.389 0.000 0.000
S 0.000 0.000 2.389
Be 2.389 2.389 2.389
Ta 0.000 0.000 0.000
```

N(E_F)	0.64	states/eV per atom
ρ	4.4	g/cm³

---

The structure with the greatest stability is (x).

---

(w)
Density functional theory data (PBE) for crystalline BeTc2S at its relaxed geometry.

```
4
Lattice="0.962 -3.093 -2.477 0.798 -3.685 1.554 -2.635 -3.062 -0.557" Properties=species:S:1:pos:R:3 pbc="T T T"
S -0.438 -4.920 -0.740
Tc -0.219 -2.460 -0.370
Tc -0.657 -7.379 -1.110
Be 0.000 0.000 0.000
```

N(E_F)	0.85	states/eV per atom
ρ	8.2	g/cm³

---

(x)
Density functional theory data (PBE) for crystalline BeTc2S at its relaxed geometry.

```
8
Lattice="3.700 0.000 0.000 0.000 3.700 0.000 1.850 1.850 8.159" Properties=species:S:1:pos:R:3 pbc="T T T"
Tc 2.775 2.837 6.119
Tc 2.713 0.925 2.040
Tc 0.987 2.775 2.040
Tc 4.625 4.562 6.119
Be 1.850 3.700 4.079
Be 1.850 1.850 0.000
S 0.000 0.000 0.000
S 3.700 1.850 4.079
```

N(E_F)	0.87	states/eV per atom
ρ	7.1	g/cm³

---

The structure with the greatest stability is (w).